Here is a relaxed structure of PuSi3Ni9 from the Alexandria database. Energies are from PBE.

Cell lengths 4.809, 6.098, 6.270 Å; angles 82.01, 67.45, 68.74 degrees
Last column: magnetic moment on the atom in μB.
Positions (direct):
1 Pu 0.000 0.000 0.000  4.76
2 Si 0.500 0.500 0.000  -0.01
3 Si 0.000 0.000 0.500  -0.01
4 Si 0.500 0.000 0.500  -0.01
5 Ni 0.716 0.777 0.774  -0.04
6 Ni 0.284 0.223 0.226  -0.04
7 Ni 0.510 0.223 0.774  -0.04
8 Ni 0.490 0.777 0.226  -0.04
9 Ni 0.664 0.342 0.354  -0.03
10 Ni 0.336 0.658 0.646  -0.03
11 Ni 0.982 0.658 0.354  -0.03
12 Ni 0.018 0.342 0.646  -0.03
13 Ni 0.000 0.500 0.000  -0.03

## Properties
* total magnetic moment: 4.6 Bohr magnetons per cell
* calculated volume: 158.2 Å³ per cell
* ΔE_f (raw): -0.41 eV/atom
* space-group type: No. 12


Here is a relaxed structure of Pu2SiNi from the Alexandria database. Energies are from PBE.

Cell lengths 3.709, 3.709, 5.500 Å; angles 90.00, 90.00, 90.00 degrees
Last column: magnetic moment on the atom in μB.
Positions (direct):
1 Ni 0.500 0.500 0.000  -0.02
2 Si 0.500 0.500 0.500  -0.12
3 Pu 0.000 0.000 0.751  5.19
4 Pu 0.000 0.000 0.249  5.19

## Properties
* total magnetic moment: 10.4 Bohr magnetons per cell
* calculated volume: 75.7 Å³ per cell
* ΔE_f (raw): -0.25 eV/atom
* space-group type: No. 123


Here is a relaxed structure of Pu3Si5Ni6 from the Alexandria database. Energies are from PBE.

Cell lengths 3.877, 9.600, 11.621 Å; angles 90.00, 90.00, 90.00 degrees
Last column: magnetic moment on the atom in μB.
Positions (direct):
1 Pu 0.000 0.252 0.653  5.03
2 Pu 0.500 0.748 0.153  5.03
3 Pu 0.500 0.748 0.847  5.03
4 Pu 0.000 0.251 0.000  5.01
5 Pu 0.500 0.749 0.500  5.01
6 Pu 0.000 0.252 0.347  5.03
7 Si 0.000 0.514 0.883  0.00
8 Si 0.000 0.852 0.674  -0.02
9 Si 0.000 0.892 0.000  -0.02
10 Si 0.500 0.486 0.617  0.00
11 Si 0.500 0.108 0.500  -0.02
12 Si 0.000 0.514 0.117  0.00
13 Si 0.500 0.486 0.383  0.00
14 Si 0.000 0.852 0.326  -0.02
15 Si 0.500 0.148 0.826  -0.02
16 Si 0.500 0.148 0.174  -0.02
17 Ni 0.000 0.010 0.828  0.12
18 Ni 0.500 0.990 0.672  0.12
19 Ni 0.500 0.402 0.803  0.08
20 Ni 0.500 0.497 0.000  -0.04
21 Ni 0.000 0.503 0.500  -0.04
22 Ni 0.000 0.598 0.697  0.08
23 Ni 0.000 0.598 0.303  0.08
24 Ni 0.500 0.020 0.000  0.10
25 Ni 0.000 0.010 0.172  0.12
26 Ni 0.500 0.402 0.197  0.08
27 Ni 0.000 0.980 0.500  0.10
28 Ni 0.500 0.990 0.328  0.12

## Properties
* total magnetic moment: 32.4 Bohr magnetons per cell
* calculated volume: 432.5 Å³ per cell
* ΔE_f (raw): -0.56 eV/atom
* space-group type: No. 59


Here is a relaxed structure of PuSi2Ni6 from the Alexandria database. Energies are from PBE.

Cell lengths 3.849, 6.168, 6.168 Å; angles 66.76, 71.80, 71.80 degrees
Last column: magnetic moment on the atom in μB.
Positions (direct):
1 Pu 0.000 0.000 0.000  4.94
2 Si 0.305 0.695 0.695  0.00
3 Si 0.695 0.305 0.305  0.00
4 Ni 0.186 0.127 0.502  -0.01
5 Ni 0.814 0.873 0.498  -0.01
6 Ni 0.814 0.498 0.873  -0.01
7 Ni 0.500 0.696 0.304  -0.12
8 Ni 0.500 0.304 0.696  -0.12
9 Ni 0.186 0.502 0.127  -0.01

## Properties
* total magnetic moment: 4.9 Bohr magnetons per cell
* calculated volume: 124.8 Å³ per cell
* ΔE_f (raw): -0.26 eV/atom
* space-group type: No. 71


Here is a relaxed structure of PuSi2Ni9 from the Alexandria database. Energies are from PBE.

Cell lengths 6.173, 7.577, 7.577 Å; angles 80.45, 65.96, 65.96 degrees
Last column: magnetic moment on the atom in μB.
Positions (direct):
1 Pu 0.500 0.000 0.000  4.93
2 Pu 0.250 0.500 0.500  4.93
3 Si 0.875 0.250 0.750  0.00
4 Si 0.875 0.750 0.250  0.00
5 Si 0.875 0.250 0.250  0.00
6 Si 0.375 0.750 0.750  0.00
7 Ni 0.750 0.500 0.500  -0.01
8 Ni 0.000 0.000 0.000  -0.01
9 Ni 0.013 0.921 0.674  -0.08
10 Ni 0.608 0.079 0.326  -0.08
11 Ni 0.684 0.174 0.579  -0.08
12 Ni 0.437 0.826 0.421  -0.08
13 Ni 0.737 0.826 0.579  -0.08
14 Ni 0.142 0.174 0.421  -0.08
15 Ni 0.066 0.921 0.326  -0.08
16 Ni 0.313 0.079 0.674  -0.08
17 Ni 0.737 0.579 0.826  -0.08
18 Ni 0.142 0.421 0.174  -0.08
19 Ni 0.066 0.326 0.921  -0.08
20 Ni 0.313 0.674 0.079  -0.08
21 Ni 0.013 0.674 0.921  -0.08
22 Ni 0.608 0.326 0.079  -0.08
23 Ni 0.684 0.579 0.174  -0.08
24 Ni 0.437 0.421 0.826  -0.08

## Properties
* total magnetic moment: 9.1 Bohr magnetons per cell
* calculated volume: 295.6 Å³ per cell
* ΔE_f (raw): -0.39 eV/atom
* space-group type: No. 141


Here is a relaxed structure of PuSiNi2 from the Alexandria database. Energies are from PBE.

Cell lengths 3.936, 5.171, 6.107 Å; angles 90.00, 90.00, 90.00 degrees
Last column: magnetic moment on the atom in μB.
Positions (direct):
1 Pu 0.000 0.000 0.415  5.11
2 Pu 0.500 0.500 0.585  5.11
3 Si 0.000 0.500 0.187  -0.03
4 Si 0.500 0.000 0.813  -0.03
5 Ni 0.000 0.243 0.872  -0.04
6 Ni 0.000 0.757 0.872  -0.04
7 Ni 0.500 0.257 0.128  -0.04
8 Ni 0.500 0.743 0.128  -0.04

## Properties
* total magnetic moment: 10.5 Bohr magnetons per cell
* calculated volume: 124.3 Å³ per cell
* ΔE_f (raw): -0.44 eV/atom
* space-group type: No. 59


Here is a relaxed structure of PuSi2Ni2 from the Alexandria database. Energies are from PBE.

Cell lengths 3.962, 3.962, 5.579 Å; angles 110.79, 110.79, 90.01 degrees
Last column: magnetic moment on the atom in μB.
Positions (direct):
1 Ni 0.250 0.750 0.500  0.03
2 Ni 0.750 0.250 0.500  0.03
3 Si 0.625 0.625 0.251  -0.03
4 Si 0.375 0.375 0.749  -0.03
5 Pu 0.000 0.000 0.000  4.96

## Properties
* total magnetic moment: 5.2 Bohr magnetons per cell
* calculated volume: 75.7 Å³ per cell
* ΔE_f (raw): -0.65 eV/atom
* space-group type: No. 139


Here is a relaxed structure of PuSi3Ni3 from the Alexandria database. Energies are from PBE.

Cell lengths 4.090, 6.935, 7.789 Å; angles 116.97, 90.00, 90.00 degrees
Last column: magnetic moment on the atom in μB.
Positions (direct):
1 Pu 0.750 0.218 0.643  5.00
2 Pu 0.250 0.782 0.357  5.00
3 Si 0.750 0.008 0.226  -0.03
4 Si 0.750 0.466 0.082  -0.01
5 Si 0.750 0.747 0.638  -0.03
6 Si 0.250 0.992 0.774  -0.03
7 Si 0.250 0.534 0.918  -0.01
8 Si 0.250 0.253 0.362  -0.03
9 Ni 0.750 0.690 0.928  0.05
10 Ni 0.750 0.417 0.352  0.03
11 Ni 0.750 0.072 0.951  0.03
12 Ni 0.250 0.310 0.072  0.05
13 Ni 0.250 0.583 0.648  0.03
14 Ni 0.250 0.928 0.049  0.03

## Properties
* total magnetic moment: 10.5 Bohr magnetons per cell
* calculated volume: 196.9 Å³ per cell
* ΔE_f (raw): -0.53 eV/atom
* space-group type: No. 11


Here is a relaxed structure of PuSi2Ni2 from the Alexandria database. Energies are from PBE.

Cell lengths 5.557, 5.557, 6.617 Å; angles 101.08, 101.08, 122.81 degrees
Last column: magnetic moment on the atom in μB.
Positions (direct):
1 Pu 0.875 0.625 0.750  5.06
2 Pu 0.125 0.375 0.250  5.06
3 Si 0.179 0.321 0.750  -0.02
4 Si 0.429 0.071 0.250  -0.02
5 Si 0.571 0.929 0.750  -0.02
6 Si 0.821 0.679 0.250  -0.02
7 Ni 0.270 0.020 0.540  -0.01
8 Ni 0.520 0.770 0.040  -0.01
9 Ni 0.730 0.980 0.460  -0.01
10 Ni 0.480 0.230 0.960  -0.01

## Properties
* total magnetic moment: 10.5 Bohr magnetons per cell
* calculated volume: 157.3 Å³ per cell
* ΔE_f (raw): -0.56 eV/atom
* space-group type: No. 70


Here is a relaxed structure of PuSiNi3 from the Alexandria database. Energies are from PBE.

Cell lengths 4.937, 7.765, 6.120 Å; angles 129.38, 113.79, 90.00 degrees
Last column: magnetic moment on the atom in μB.
Positions (direct):
1 Pu 0.250 0.290 0.500  5.10
2 Pu 0.750 0.710 0.500  5.10
3 Si 0.000 0.500 0.000  -0.03
4 Si 0.500 0.000 0.000  -0.03
5 Ni 0.741 0.241 0.981  -0.05
6 Ni 0.241 0.241 0.981  -0.05
7 Ni 0.759 0.759 0.019  -0.05
8 Ni 0.259 0.759 0.019  -0.05
9 Ni 0.250 0.903 0.500  -0.11
10 Ni 0.750 0.097 0.500  -0.11

## Properties
* total magnetic moment: 10.4 Bohr magnetons per cell
* calculated volume: 154.7 Å³ per cell
* ΔE_f (raw): -0.33 eV/atom
* space-group type: No. 74


Here is a relaxed structure of Pu2SiNi from the Alexandria database. Energies are from PBE.

Cell lengths 3.945, 5.467, 7.783 Å; angles 72.53, 75.32, 68.85 degrees
Last column: magnetic moment on the atom in μB.
Positions (direct):
1 Pu 0.231 0.220 0.317  5.32
2 Pu 0.839 0.756 0.567  4.53
3 Pu 0.475 0.396 0.654  -4.39
4 Pu 0.799 0.431 0.972  5.10
5 Si 0.138 0.915 0.809  -0.02
6 Si 0.525 0.670 0.280  -0.04
7 Ni 0.012 0.832 0.144  -0.01
8 Ni 0.524 0.996 0.957  0.00

## Properties
* total magnetic moment: 11.1 Bohr magnetons per cell
* calculated volume: 147.4 Å³ per cell
* ΔE_f (raw): -0.34 eV/atom
* space-group type: No. 8


Here is a relaxed structure of PuSi2Ni5 from the Alexandria database. Energies are from PBE.

Cell lengths 3.596, 5.903, 5.903 Å; angles 67.81, 72.27, 72.27 degrees
Last column: magnetic moment on the atom in μB.
Positions (direct):
1 Pu 0.000 0.000 0.000  4.98
2 Si 0.754 0.746 0.746  -0.01
3 Si 0.246 0.254 0.254  -0.01
4 Ni 0.000 0.500 0.500  0.05
5 Ni 0.648 0.540 0.164  0.05
6 Ni 0.352 0.460 0.836  0.05
7 Ni 0.352 0.836 0.460  0.05
8 Ni 0.648 0.164 0.540  0.05

## Properties
* total magnetic moment: 5.4 Bohr magnetons per cell
* calculated volume: 107.9 Å³ per cell
* ΔE_f (raw): -0.48 eV/atom
* space-group type: No. 71


Here is a relaxed structure of PuSi4Ni6 from the Alexandria database. Energies are from PBE.

Cell lengths 3.686, 6.653, 6.653 Å; angles 120.00, 90.00, 90.00 degrees
Last column: magnetic moment on the atom in μB.
Positions (direct):
1 Pu 0.000 0.000 0.000  4.93
2 Si 0.500 0.804 0.609  -0.01
3 Si 0.500 0.391 0.196  -0.01
4 Si 0.500 0.804 0.196  -0.01
5 Si 0.000 0.333 0.667  0.00
6 Ni 0.000 0.535 0.070  0.04
7 Ni 0.500 0.590 0.795  0.13
8 Ni 0.000 0.535 0.465  0.04
9 Ni 0.000 0.930 0.465  0.04
10 Ni 0.500 0.205 0.795  0.13
11 Ni 0.500 0.205 0.410  0.13

## Properties
* total magnetic moment: 5.6 Bohr magnetons per cell
* calculated volume: 141.3 Å³ per cell
* ΔE_f (raw): -0.60 eV/atom
* space-group type: No. 187


Here is a relaxed structure of Pu2ThSi2Ni2 from the Alexandria database. Energies are from PBE.

Cell lengths 3.914, 3.914, 9.422 Å; angles 78.01, 78.01, 60.00 degrees
Last column: magnetic moment on the atom in μB.
Positions (direct):
1 Pu 0.148 0.148 0.555  0.92
2 Pu 0.852 0.852 0.445  0.92
3 Th 0.000 0.000 0.000  0.03
4 Si 0.747 0.747 0.759  -0.01
5 Si 0.253 0.253 0.241  -0.01
6 Ni 0.596 0.596 0.212  0.03
7 Ni 0.404 0.404 0.788  0.03

## Properties
* total magnetic moment: 1.9 Bohr magnetons per cell
* calculated volume: 121.3 Å³ per cell
* ΔE_f (raw): -0.49 eV/atom
* space-group type: No. 166


Here is a relaxed structure of Pu2USi2Ni2 from the Alexandria database. Energies are from PBE.

Cell lengths 3.865, 3.865, 9.132 Å; angles 77.78, 77.78, 60.00 degrees
Last column: magnetic moment on the atom in μB.
Positions (direct):
1 Pu 0.147 0.147 0.558  0.32
2 Pu 0.853 0.853 0.442  0.32
3 U 0.000 0.000 0.000  1.18
4 Si 0.744 0.744 0.768  -0.01
5 Si 0.256 0.256 0.232  -0.01
6 Ni 0.605 0.605 0.185  -0.01
7 Ni 0.395 0.395 0.815  -0.01

## Properties
* total magnetic moment: 1.9 Bohr magnetons per cell
* calculated volume: 114.5 Å³ per cell
* ΔE_f (raw): -0.35 eV/atom
* space-group type: No. 166


Here is a relaxed structure of Pu2ZnSi4Ni3 from the Alexandria database. Energies are from PBE.

Cell lengths 4.016, 4.016, 9.643 Å; angles 90.00, 90.00, 90.00 degrees
Last column: magnetic moment on the atom in μB.
Positions (direct):
1 Pu 0.500 0.000 0.245  4.96
2 Pu 0.000 0.500 0.755  4.96
3 Zn 0.500 0.500 0.500  -0.02
4 Si 0.500 0.500 0.000  -0.03
5 Si 0.000 0.000 0.000  -0.03
6 Si 0.500 0.000 0.645  -0.04
7 Si 0.000 0.500 0.355  -0.04
8 Ni 0.000 0.000 0.500  -0.07
9 Ni 0.500 0.000 0.882  0.01
10 Ni 0.000 0.500 0.118  0.01

## Properties
* total magnetic moment: 10.0 Bohr magnetons per cell
* calculated volume: 155.5 Å³ per cell
* ΔE_f (raw): -0.57 eV/atom
* space-group type: No. 115


Here is a relaxed structure of Pu2ZnSi3Ni4 from the Alexandria database. Energies are from PBE.

Cell lengths 3.997, 3.997, 9.622 Å; angles 90.00, 90.00, 90.00 degrees
Last column: magnetic moment on the atom in μB.
Positions (direct):
1 Pu 0.500 0.000 0.248  5.00
2 Pu 0.000 0.500 0.752  5.00
3 Zn 0.500 0.500 0.500  0.02
4 Si 0.000 0.000 0.500  -0.04
5 Si 0.500 0.000 0.874  -0.03
6 Si 0.000 0.500 0.126  -0.03
7 Ni 0.500 0.500 0.000  0.03
8 Ni 0.000 0.000 0.000  0.05
9 Ni 0.500 0.000 0.636  -0.06
10 Ni 0.000 0.500 0.364  -0.06

## Properties
* total magnetic moment: 10.3 Bohr magnetons per cell
* calculated volume: 153.8 Å³ per cell
* ΔE_f (raw): -0.54 eV/atom
* space-group type: No. 115


Here is a relaxed structure of SmPu3Ni8 from the Alexandria database. Energies are from PBE.

Cell lengths 5.060, 5.060, 8.322 Å; angles 90.00, 90.00, 120.00 degrees
Last column: magnetic moment on the atom in μB.
Positions (direct):
1 Sm 0.000 0.000 0.568  0.12
2 Pu 0.667 0.333 0.424  5.13
3 Pu 0.667 0.333 0.057  5.10
4 Pu 0.000 0.000 0.950  5.09
5 Ni 0.333 0.667 0.500  -0.12
6 Ni 0.333 0.667 0.999  -0.05
7 Ni 0.500 0.999 0.751  -0.07
8 Ni 0.500 0.500 0.751  -0.07
9 Ni 0.001 0.500 0.751  -0.07
10 Ni 0.168 0.337 0.250  -0.08
11 Ni 0.168 0.832 0.250  -0.08
12 Ni 0.663 0.832 0.250  -0.08

## Properties
* total magnetic moment: 15.5 Bohr magnetons per cell
* calculated volume: 184.5 Å³ per cell
* E: -97.072 eV per cell
* space-group type: No. 156


Here is a relaxed structure of SmPuNi10 from the Alexandria database. Energies are from PBE.

Cell lengths 3.960, 4.903, 8.506 Å; angles 90.00, 90.00, 90.00 degrees
Last column: magnetic moment on the atom in μB.
Positions (direct):
1 Sm 0.000 0.000 0.000  0.09
2 Pu 0.000 0.500 0.500  4.91
3 Ni 0.000 0.000 0.336  -0.40
4 Ni 0.000 0.500 0.829  -0.34
5 Ni 0.000 0.500 0.171  -0.34
6 Ni 0.000 0.000 0.664  -0.40
7 Ni 0.500 0.000 0.500  -0.44
8 Ni 0.500 0.500 0.000  -0.42
9 Ni 0.500 0.252 0.252  -0.42
10 Ni 0.500 0.748 0.748  -0.42
11 Ni 0.500 0.748 0.252  -0.42
12 Ni 0.500 0.252 0.748  -0.42

## Properties
* total magnetic moment: 1.5 Bohr magnetons per cell
* calculated volume: 165.1 Å³ per cell
* E: -79.783 eV per cell
* space-group type: No. 47


Here is a relaxed structure of SmPuNi2 from the Alexandria database. Energies are from PBE.

Cell lengths 3.331, 4.856, 4.856 Å; angles 90.00, 90.00, 90.00 degrees
Last column: magnetic moment on the atom in μB.
Positions (direct):
1 Ni 0.000 0.000 0.500  -0.04
2 Ni 0.000 0.500 0.000  -0.04
3 Sm 0.500 0.500 0.500  0.02
4 Pu 0.500 0.000 0.000  5.20

## Properties
* total magnetic moment: 5.4 Bohr magnetons per cell
* calculated volume: 78.5 Å³ per cell
* E: -31.169 eV per cell
* space-group type: No. 123


Here is a relaxed structure of SmPu2Ni9 from the Alexandria database. Energies are from PBE.

Cell lengths 4.959, 4.959, 8.634 Å; angles 73.31, 73.31, 60.00 degrees
Last column: magnetic moment on the atom in μB.
Positions (direct):
1 Sm 0.000 0.000 0.000  0.08
2 Pu 0.857 0.857 0.428  5.03
3 Pu 0.143 0.143 0.572  5.03
4 Ni 0.667 0.667 0.999  -0.16
5 Ni 0.333 0.333 0.001  -0.16
6 Ni 0.500 0.500 0.500  -0.10
7 Ni 0.418 0.418 0.247  -0.22
8 Ni 0.918 0.418 0.247  -0.22
9 Ni 0.418 0.918 0.247  -0.22
10 Ni 0.582 0.582 0.753  -0.22
11 Ni 0.582 0.082 0.753  -0.22
12 Ni 0.082 0.582 0.753  -0.22

## Properties
* total magnetic moment: 9.0 Bohr magnetons per cell
* calculated volume: 173.4 Å³ per cell
* E: -88.880 eV per cell
* space-group type: No. 166


no.,DOS(E_F) (states/eV/f.u.)
1,19.434
2,12.080
3,31.286
4,15.631
5,22.942
6,10.068
7,11.783
8,10.602
9,13.137
10,14.315
11,12.223
12,11.847
13,13.130
14,10.933
15,12.522
16,24.241
17,25.999
18,32.661
19,21.387
20,11.484
21,26.917